No. 1
# Na2LaAlSe4

An optimized crystal structure of Na2LaAlSe4 (GGA-PBE, Alexandria via LeMat-Bulk).

a b c (Å): 8.326 8.325 8.702
angles (deg): 121.50 121.50 90.13
Atoms (fractional coordinates):
Se 0.746 0.753 0.953
Se 0.747 0.754 0.547
Se 0.761 0.233 0.997
Se 0.733 0.261 0.497
Se 0.239 0.767 0.003
Se 0.267 0.739 0.503
Se 0.254 0.247 0.047
Se 0.253 0.246 0.453
Na 0.500 0.000 0.000
Na 0.000 0.000 0.500
Na 0.500 0.000 0.500
Na 0.500 0.500 0.000
Al 0.000 0.000 0.000
Al 0.500 0.500 0.500
La 0.000 0.500 0.000
La 0.000 0.500 0.500

SG	No. 74
formation energy from raw total energies	-1285	meV per atom

=====

No. 2
# NaLa2AlSe5

An optimized crystal structure of NaLa2AlSe5 (GGA-PBE, Alexandria via LeMat-Bulk).

a b c (Å): 4.123 9.369 12.330
angles (deg): 90.00 90.00 102.71
Atoms (fractional coordinates):
Se 0.710 0.420 0.186
Se 0.960 0.920 0.550
Se 0.290 0.580 0.686
Se 0.638 0.276 0.504
Se 0.040 0.080 0.050
Se 0.362 0.724 0.004
Se 0.324 0.648 0.353
Se 0.494 0.989 0.773
Se 0.506 0.011 0.273
Se 0.676 0.352 0.853
La 0.866 0.733 0.814
La 0.882 0.764 0.184
La 0.134 0.267 0.314
La 0.118 0.236 0.684
Al 0.441 0.883 0.443
Al 0.559 0.117 0.943
Na 0.794 0.588 0.518
Na 0.206 0.412 0.018

SG	No. 36
formation energy from raw total energies	-1571	meV per atom

=====

No. 3
# NaLaSmAl

An optimized crystal structure of NaLaSmAl (GGA-PBE, Alexandria via LeMat-Bulk).

a b c (Å): 5.460 5.460 5.460
angles (deg): 60.00 60.00 60.00
Atoms (fractional coordinates):
Sm 0.500 0.500 0.500
Al 0.750 0.750 0.750
La 0.000 0.000 0.000
Na 0.250 0.250 0.250

SG	No. 216
calculated formation energy	-61	meV/atom
density of states at the Fermi level	5.1	states/eV/cell

=====

No. 4
# NaLaTa2Al

An optimized crystal structure of NaLaTa2Al (GGA-PBE, Alexandria via LeMat-Bulk).

a b c (Å): 4.948 4.948 4.855
angles (deg): 90.00 90.00 90.00
Each line ends with the local moment (μB).
Atoms (fractional coordinates):
Na 0.000 0.000 0.000  0.05
Ta 0.500 0.000 0.000  0.62
Ta 0.000 0.500 0.000  0.62
Al 0.000 0.000 0.500  -0.01
La 0.500 0.500 0.500  0.17

SG	No. 123
calculated formation energy	1589	meV/atom
density of states at the Fermi level	5.8	states/eV/cell

=====

No. 5
# NaLaTbAl

An optimized crystal structure of NaLaTbAl (GGA-PBE, Alexandria via LeMat-Bulk).

a b c (Å): 5.425 5.425 5.425
angles (deg): 60.00 60.00 60.00
Atoms (fractional coordinates):
Tb 0.500 0.500 0.500
Al 0.250 0.250 0.250
Na 0.750 0.750 0.750
La 0.000 0.000 0.000

SG	No. 216
calculated formation energy	-53	meV/atom
density of states at the Fermi level	4.8	states/eV/cell

=====

No. 6
# Na4La3AlTe8

An optimized crystal structure of Na4La3AlTe8 (GGA-PBE, Alexandria via LeMat-Bulk).

a b c (Å): 9.085 9.200 9.088
angles (deg): 119.65 119.99 90.00
Atoms (fractional coordinates):
Te 0.227 0.726 0.000
Te 0.227 0.274 0.000
Te 0.773 0.726 0.000
Te 0.773 0.274 0.000
Te 0.252 0.256 0.504
Te 0.771 0.272 0.542
Te 0.229 0.728 0.458
Te 0.748 0.744 0.496
Na 0.500 0.000 0.500
Na 0.000 0.000 0.500
Na 0.000 0.000 0.000
Na 0.500 0.000 0.000
La 0.500 0.500 0.000
La 0.500 0.500 0.500
La 0.000 0.500 0.500
Al 0.000 0.500 0.000

SG	No. 12
formation energy from raw total energies	-1164	meV per atom
density of states at the Fermi level	2.0	states/eV/cell

=====

No. 7
# LaNb2Al2

An optimized crystal structure of LaNb2Al2 (GGA-PBE, Alexandria via LeMat-Bulk).

a b c (Å): 4.453 4.453 6.486
angles (deg): 69.92 69.92 90.00
Atoms (fractional coordinates):
Nb 0.391 0.391 0.218
Nb 0.609 0.609 0.782
Al 0.750 0.250 0.500
Al 0.250 0.750 0.500
La 0.000 0.000 0.000

SG	No. 139
calculated formation energy	157	meV/atom
density of states at the Fermi level	4.2	states/eV/cell
energy relative to the lowest polymorph listed for this composition	300	meV per atom

=====

No. 8
# LaNbAl4

An optimized crystal structure of LaNbAl4 (GGA-PBE, Alexandria via LeMat-Bulk).

a b c (Å): 5.471 5.471 5.471
angles (deg): 60.00 60.00 60.00
Atoms (fractional coordinates):
Nb 0.000 0.000 0.000
Al 0.626 0.626 0.626
Al 0.123 0.626 0.626
Al 0.626 0.123 0.626
Al 0.626 0.626 0.123
La 0.250 0.250 0.250

SG	No. 216
calculated formation energy	-260	meV/atom
density of states at the Fermi level	2.8	states/eV/cell

=====

No. 9
# LaNbAl3

An optimized crystal structure of LaNbAl3 (GGA-PBE, Alexandria via LeMat-Bulk).

a b c (Å): 5.227 5.227 5.227
angles (deg): 90.00 90.00 90.00
Atoms (fractional coordinates):
Nb 0.500 0.500 0.500
Al 0.500 0.000 0.000
Al 0.000 0.500 0.000
Al 0.000 0.000 0.500
La 0.000 0.000 0.000

SG	No. 221
calculated formation energy	1822	meV/atom
density of states at the Fermi level	8.5	states/eV/cell
energy relative to the lowest polymorph listed for this composition	1812	meV per atom

=====

No. 10
# LaNb2Al2

An optimized crystal structure of LaNb2Al2 (GGA-PBE, Alexandria via LeMat-Bulk).

a b c (Å): 7.938 7.938 3.230
angles (deg): 90.00 90.00 90.00
Atoms (fractional coordinates):
Nb 0.671 0.829 0.500
Nb 0.329 0.171 0.500
Nb 0.829 0.329 0.500
Nb 0.171 0.671 0.500
Al 0.882 0.618 0.000
Al 0.118 0.382 0.000
Al 0.618 0.118 0.000
Al 0.382 0.882 0.000
La 0.000 0.000 0.000
La 0.500 0.500 0.000

SG	No. 127
calculated formation energy	-56	meV/atom
density of states at the Fermi level	11.1	states/eV/cell
energy relative to the lowest polymorph listed for this composition	87	meV per atom

=====

No. 11
# LaNb2Al

An optimized crystal structure of LaNb2Al (GGA-PBE, Alexandria via LeMat-Bulk).

a b c (Å): 8.020 8.020 6.344
angles (deg): 50.80 50.80 90.00
Atoms (fractional coordinates):
La 0.750 0.250 0.500
La 0.000 0.000 0.000
Al 0.250 0.750 0.500
Al 0.500 0.500 0.000
Nb 0.171 0.625 0.250
Nb 0.875 0.829 0.750
Nb 0.375 0.421 0.750
Nb 0.579 0.125 0.250

SG	No. 122
calculated formation energy	589	meV/atom
density of states at the Fermi level	10.5	states/eV/cell

=====

No. 12
# LaNb2Al2

An optimized crystal structure of LaNb2Al2 (GGA-PBE, Alexandria via LeMat-Bulk).

a b c (Å): 8.365 8.365 2.925
angles (deg): 90.00 90.00 90.00
Atoms (fractional coordinates):
Nb 0.885 0.615 0.000
Nb 0.615 0.115 0.000
Nb 0.115 0.385 0.000
Nb 0.385 0.885 0.000
Al 0.176 0.676 0.500
Al 0.324 0.176 0.500
Al 0.824 0.324 0.500
Al 0.676 0.824 0.500
La 0.000 0.000 0.000
La 0.500 0.500 0.000

SG	No. 127
calculated formation energy	-143	meV/atom
density of states at the Fermi level	8.7	states/eV/cell
energy relative to the lowest polymorph listed for this composition	0	meV per atom

=====

| no. | calculated total energy (eV for the cell shown) |
| --- | --- |
| 1 | -71.1 |
| 2 | -93.0 |
| 3 | -15.0 |
| 4 | -25.7 |
| 5 | -14.8 |
| 6 | -67.6 |
| 7 | -31.8 |
| 8 | -31.5 |
| 9 | -17.1 |
| 10 | -65.7 |
| 11 | -52.9 |
| 12 | -66.5 |